No. 1
Below is a geometry-optimized AcPrBiPd structure, with properties calculated at the GGA-PBE level.

Computed properties:
DFT formation energy, eV per atom: -0.628
Total energy, eV per atom: -5.1182

Cell: 5.560 5.560 5.560 Å, 60.00 60.00 60.00°
Fractional positions:
Ac (0.000, 0.000, 0.000)
Pr (0.500, 0.500, 0.500)
Bi (0.250, 0.250, 0.250)
Pd (0.750, 0.750, 0.750)

=====

No. 2
Below is a geometry-optimized Pm2Er3Tm structure, with properties calculated at the GGA-PBE level.

Computed properties:
DFT formation energy, eV per atom: 0.100
Total energy, eV per atom: -4.5103
Polymorph energy (0 for the lowest one), meV per atom: 46

Cell: 8.943 8.943 9.885 Å, 123.14 123.14 36.23°
Fractional positions:
Pm (0.007, 0.007, 0.357)
Pm (0.268, 0.268, 0.625)
Pm (0.732, 0.732, 0.375)
Pm (0.993, 0.993, 0.643)
Er (0.114, 0.114, 0.154)
Er (0.211, 0.211, 0.926)
Er (0.455, 0.455, 0.113)
Er (0.545, 0.545, 0.887)
Er (0.789, 0.789, 0.074)
Er (0.886, 0.886, 0.846)
Tm (0.368, 0.368, 0.368)
Tm (0.632, 0.632, 0.632)

=====

No. 3
Below is a geometry-optimized TlNiOs structure, with properties calculated at the GGA-PBE level.

Computed properties:
DFT formation energy, eV per atom: 0.861
Total energy, eV per atom: -5.5982
Polymorph energy (0 for the lowest one), meV per atom: 159

Cell: 4.230 4.230 3.227 Å, 90.00 90.00 120.00°
Fractional positions:
Tl (0.000, 0.000, 0.000)
Ni (0.333, 0.667, 0.498)
Os (0.667, 0.333, 0.500)

=====

No. 4
Below is a geometry-optimized KMg2Be structure, with properties calculated at the GGA-PBE level.

Computed properties:
DFT formation energy, eV per atom: 0.506
Total energy, eV per atom: -1.4971

Cell: 10.185 10.185 10.185 Å, 20.01 20.01 20.01°
Fractional positions:
K (0.000, 0.000, 0.000)
Mg (0.222, 0.222, 0.222)
Mg (0.778, 0.778, 0.778)
Be (0.500, 0.500, 0.500)

=====

No. 5
Below is a geometry-optimized Th3ZnRu2 structure, with properties calculated at the GGA-PBE level.

Computed properties:
DFT formation energy, eV per atom: -0.342
Total energy, eV per atom: -7.3563

Cell: 8.354 8.354 8.204 Å, 106.44 106.44 32.00°
Fractional positions:
Th (0.078, 0.078, 0.222)
Th (0.232, 0.232, 0.685)
Th (0.395, 0.395, 0.116)
Th (0.605, 0.605, 0.884)
Th (0.768, 0.768, 0.315)
Th (0.922, 0.922, 0.778)
Zn (0.421, 0.421, 0.520)
Zn (0.579, 0.579, 0.480)
Ru (0.060, 0.060, 0.654)
Ru (0.205, 0.205, 0.070)
Ru (0.795, 0.795, 0.930)
Ru (0.940, 0.940, 0.346)

=====

No. 6
Below is a geometry-optimized La2Dy8Th3 structure, with properties calculated at the GGA-PBE level.

Computed properties:
DFT formation energy, eV per atom: 0.258
Total energy, eV per atom: -5.0447

Cell: 7.423 7.423 8.650 Å, 105.79 105.79 93.60°
Fractional positions:
La (0.225, 0.225, 0.026)
La (0.775, 0.775, 0.974)
Dy (0.078, 0.600, 0.321)
Dy (0.102, 0.102, 0.360)
Dy (0.400, 0.922, 0.679)
Dy (0.405, 0.405, 0.785)
Dy (0.595, 0.595, 0.215)
Dy (0.600, 0.078, 0.321)
Dy (0.898, 0.898, 0.640)
Dy (0.922, 0.400, 0.679)
Th (0.231, 0.769, 0.000)
Th (0.500, 0.500, 0.500)
Th (0.769, 0.231, 0.000)

=====

No. 7
Below is a geometry-optimized NdSbPb structure, with properties calculated at the GGA-PBE level.

Computed properties:
Energy relative to the elements, uncorrected, meV per atom: -409
Total energy, eV per atom: -4.6087

Cell: 4.366 5.648 5.648 Å, 47.70 90.00 90.00°
Fractional positions:
Nd (0.000, 0.000, 0.000)
Sb (0.000, 0.297, 0.297)
Pb (0.500, 0.725, 0.725)

=====

No. 8
Below is a geometry-optimized Sc2UTiN4 structure, with properties calculated at the GGA-PBE level.

Computed properties:
Energy relative to the elements, uncorrected, meV per atom: -1664
Total energy, eV per atom: -9.8074

Cell: 5.538 3.217 5.587 Å, 90.00 108.65 90.00°
Fractional positions:
Sc (0.000, 0.000, 0.000)
Sc (0.500, 0.500, 0.000)
U (0.000, 0.500, 0.500)
Ti (0.500, 0.000, 0.500)
N (0.256, 0.500, 0.261)
N (0.261, 0.000, 0.753)
N (0.739, 0.000, 0.247)
N (0.744, 0.500, 0.739)

=====

No. 9
Below is a geometry-optimized MnTcS3 structure, with properties calculated at the GGA-PBE level.

Computed properties:
Energy relative to the elements, uncorrected, meV per atom: 970
Total energy, eV per atom: -5.4131
Polymorph energy (0 for the lowest one), meV per atom: 206

Cell: 4.598 4.598 4.598 Å, 90.00 90.00 90.00°
Fractional positions:
Mn (0.000, 0.000, 0.000)
Tc (0.500, 0.500, 0.500)
S (0.000, 0.500, 0.500)
S (0.500, 0.000, 0.500)
S (0.500, 0.500, 0.000)

=====

No. 10
Below is a geometry-optimized SnIrOsC structure, with properties calculated at the GGA-PBE level.

Computed properties:
DFT formation energy, eV per atom: 0.529
Total energy, eV per atom: -7.7999
Polymorph energy (0 for the lowest one), meV per atom: 167

Cell: 6.652 6.652 6.652 Å, 29.44 29.44 29.44°
Fractional positions:
Sn (0.000, 0.000, 0.000)
Ir (0.429, 0.429, 0.429)
Os (0.222, 0.222, 0.222)
C (0.534, 0.534, 0.534)

=====

No. 11
Below is a geometry-optimized Ba2NaY structure, with properties calculated at the GGA-PBE level.

Computed properties:
DFT formation energy, eV per atom: 0.273
Total energy, eV per atom: -2.6340
Polymorph energy (0 for the lowest one), meV per atom: 96

Cell: 6.461 6.461 6.461 Å, 60.00 60.00 60.00°
Fractional positions:
Ba (0.250, 0.250, 0.250)
Ba (0.750, 0.750, 0.750)
Na (0.000, 0.000, 0.000)
Y (0.500, 0.500, 0.500)

=====

No. 12
Below is a geometry-optimized PmGa2Co structure, with properties calculated at the GGA-PBE level.

Computed properties:
DFT formation energy, eV per atom: -0.461
Total energy, eV per atom: -4.9390
Polymorph energy (0 for the lowest one), meV per atom: 72

Cell: 5.747 5.747 5.747 Å, 41.75 41.75 41.75°
Fractional positions:
Pm (0.000, 0.000, 0.000)
Ga (0.210, 0.210, 0.210)
Ga (0.790, 0.790, 0.790)
Co (0.500, 0.500, 0.500)